Compound: CeZr2Np
Source: Alexandria via LeMat-Bulk
Functional: PBE-GGA
Structure: optimized geometry

extended XYZ file:
```
4
Lattice="-1.629 2.557 1.032 -3.034 0.445 -0.923 -5.018 -4.693 8.680" Properties=species:S:1:pos:R:3 pbc="T T T"
Ce -4.840 -0.846 4.395
Zr -7.295 -1.326 6.679
Zr -2.385 -0.366 2.111
Np 0.000 0.000 0.000
```

Output
Excess energy over the best structure of this formula in the dataset   0.06 eV/f.u.



Compound: Ce11O20
Source: Alexandria via LeMat-Bulk
Functional: PBE-GGA
Structure: optimized geometry

extended XYZ file:
```
31
Lattice="-4.848 -4.395 1.697 4.557 -1.408 4.812 -4.847 7.409 5.218" Properties=species:S:1:pos:R:3 pbc="T T T"
O -2.877 1.941 5.021
O -5.088 -0.334 7.642
O -0.184 -1.933 4.289
O 0.509 0.008 6.121
O -3.242 -0.422 3.341
O -4.954 3.540 7.438
O -0.698 -0.040 2.211
O 0.821 2.186 7.746
O -1.897 2.028 8.385
O -1.829 -3.940 6.720
O -2.804 -3.981 3.334
O 0.862 -3.746 6.124
O -0.050 1.941 4.085
O -5.648 1.598 5.605
O -2.262 -0.335 6.705
O -2.334 5.587 8.393
O -4.441 1.646 9.516
O -6.001 5.352 5.603
O -3.309 5.546 5.006
O -5.960 -0.580 3.981
Ce -2.173 1.773 2.685
Ce -6.254 1.626 7.965
Ce -0.553 -1.976 6.638
Ce -1.757 -2.087 2.593
Ce -2.966 -0.167 9.042
Ce 0.000 0.000 0.000
Ce -3.382 3.693 9.133
Ce -4.585 3.583 5.088
Ce -4.188 -0.192 5.441
Ce 1.115 -0.020 3.762
Ce -0.950 1.798 6.286
```

Output
Formation energy without anion corrections   -108.13 eV per formula unit



Compound: CeO4
Source: Alexandria via LeMat-Bulk
Functional: PBE-GGA
Structure: optimized geometry

extended XYZ file:
```
5
Lattice="-1.901 -3.283 2.253 3.074 -2.797 -1.482 2.531 0.931 3.493" Properties=species:S:1:pos:R:3 pbc="T T T"
O 2.802 -0.933 1.005
O 0.315 -1.176 2.873
O 0.586 -3.040 0.385
O 0.000 0.000 0.000
Ce 1.852 -2.575 2.131
```

Output
Formation energy without anion corrections   -4.41 eV per formula unit



Compound: CeO
Source: Alexandria via LeMat-Bulk
Functional: PBE-GGA
Structure: optimized geometry

extended XYZ file:
```
4
Lattice="-0.513 2.247 2.649 0.923 -3.321 0.669 5.729 1.551 -0.205" Properties=species:S:1:pos:R:3 pbc="T T T"
Ce 4.262 1.554 1.835
Ce 1.877 -1.077 1.278
O 2.865 0.776 -0.103
O 0.000 0.000 0.000
```

Output
Formation energy without anion corrections   -5.51 eV per formula unit
Excess energy over the best structure of this formula in the dataset   0.25 eV/f.u.